Entry 1:
## TbHo2Tm5Mg (PBE-GGA)

Data for crystalline TbHo2Tm5Mg at its relaxed geometry.

Computed properties:
Electronic total energy in eV per atom: -4.081
ΔE_f in kcal/mol of atoms: 2.58
Crystal system: orthorhombic
Total magnetic moment in μB/atom: 0.00
Fermi-level density of states in states/eV per cell: 25.7

Cell lengths 10.2860, 10.2860, 10.3258 Å; angles 90.00, 90.00, 149.85 degrees
Fractional positions:
Tb1 0.2059 0.7941 0.5000
Tb2 0.7941 0.2059 0.0000
Ho1 0.1149 0.8851 0.2127
Ho2 0.1149 0.8851 0.7874
Ho3 0.8851 0.1149 0.2874
Ho4 0.8851 0.1149 0.7127
Tm1 0.0132 0.9868 0.5000
Tm2 0.2899 0.7101 0.2013
Tm3 0.2897 0.7103 0.7986
Tm4 0.3835 0.6165 0.5000
Tm5 0.4999 0.5001 0.2498
Tm6 0.5001 0.4999 0.7498
Tm7 0.6165 0.3835 0.0000
Tm8 0.7103 0.2897 0.2986
Tm9 0.7101 0.2899 0.7013
Tm10 0.9868 0.0132 0.0000
Mg1 0.4051 0.5949 0.9993
Mg2 0.5949 0.4051 0.4993



Entry 2:
## KAlHg2S4 (PBE-GGA)

Data for crystalline KAlHg2S4 at its relaxed geometry.

Computed properties:
Electronic total energy in eV per atom: -3.448
Energy relative to the elements, uncorrected in meV/atom: -704.3
Crystal system: orthorhombic
Total magnetic moment in μB/atom: 0.00
Fermi-level density of states in states/eV per cell: 0.0

Cell lengths 6.6654, 6.6654, 6.6654 Å; angles 121.94, 110.07, 97.35 degrees
Fractional positions:
K1 0.0000 0.0000 0.0000
Al1 0.5000 0.5000 0.0000
Hg1 0.3198 0.8198 0.5000
Hg2 0.6802 0.1802 0.5000
S1 0.1731 0.1535 0.6225
S2 0.4690 0.8465 0.0196
S3 0.5310 0.5506 0.3775
S4 0.8269 0.4494 0.9804



Entry 3:
## Te4As5 (PBE-GGA)

Data for crystalline Te4As5 at its relaxed geometry.

Computed properties:
Electronic total energy in eV per atom: -3.611
Energy relative to the elements, uncorrected in meV/atom: 368.7
Crystal system: hexagonal
Total magnetic moment in μB/atom: 0.00
Fermi-level density of states in states/eV per cell: 10.0

Cell lengths 8.4785, 8.4785, 7.1603 Å; angles 90.00, 90.00, 120.00 degrees
Fractional positions:
Te1 0.0000 0.0000 0.0000
Te2 0.0000 0.0000 0.5000
Te3 0.0000 0.3972 0.2500
Te4 0.0000 0.6028 0.7500
Te5 0.3972 0.0000 0.2500
Te6 0.3972 0.3972 0.7500
Te7 0.6028 0.0000 0.7500
Te8 0.6028 0.6028 0.2500
As1 0.0000 0.2581 0.7500
As2 0.0000 0.7419 0.2500
As3 0.2581 0.0000 0.7500
As4 0.2581 0.2581 0.2500
As5 0.3333 0.6667 0.0000
As6 0.3333 0.6667 0.5000
As7 0.6667 0.3333 0.0000
As8 0.6667 0.3333 0.5000
As9 0.7419 0.0000 0.2500
As10 0.7419 0.7419 0.7500



Entry 4:
## Pm2ErSb (PBE-GGA)

Data for crystalline Pm2ErSb at its relaxed geometry.

Computed properties:
Electronic total energy in eV per atom: -5.055
Energy relative to the elements, uncorrected in meV/atom: -508.2
Crystal system: tetragonal
Energy above the lowest structure with this stoichiometry in meV/atom: 0
Total magnetic moment in μB/atom: 0.00
Fermi-level density of states in states/eV per cell: 3.9

Cell lengths 4.8291, 4.8291, 4.8887 Å; angles 90.00, 90.00, 90.00 degrees
Fractional positions:
Pm1 0.0000 0.5000 0.0000
Pm2 0.5000 0.0000 0.0000
Er1 0.0000 0.0000 0.5000
Sb1 0.5000 0.5000 0.5000



Entry 5:
## LaAsPBr2 (PBE-GGA)

Data for crystalline LaAsPBr2 at its relaxed geometry.

Computed properties:
Electronic total energy in eV per atom: -3.829
Energy relative to the elements, uncorrected in meV/atom: -162.1
Crystal system: tetragonal
Energy above the lowest structure with this stoichiometry in meV/atom: 205
Total magnetic moment in μB/atom: 0.20
Fermi-level density of states in states/eV per cell: 0.6

Cell lengths 5.7712, 5.7712, 6.2859 Å; angles 90.00, 90.00, 90.00 degrees
Fractional positions:
La1 0.0000 0.0000 0.0000
As1 0.0000 0.0000 0.5000
P1 0.5000 0.5000 0.5000
Br1 0.0000 0.5000 0.0000
Br2 0.5000 0.0000 0.0000



Entry 6:
## HoEr2Bi2 (PBE-GGA)

Data for crystalline HoEr2Bi2 at its relaxed geometry.

Computed properties:
Electronic total energy in eV per atom: -4.639
ΔE_f in kcal/mol of atoms: -7.97
Crystal system: monoclinic
Total magnetic moment in μB/atom: 0.00
Fermi-level density of states in states/eV per cell: 4.0

Cell lengths 4.8333, 4.8333, 7.1826 Å; angles 101.34, 101.34, 78.39 degrees
Fractional positions:
Ho1 0.0000 0.0000 0.0000
Er1 0.2485 0.7515 0.5000
Er2 0.7515 0.2485 0.5000
Bi1 0.3247 0.3247 0.7939
Bi2 0.6753 0.6753 0.2061